# MoIr2RuF

A geometry-optimized MoIr2RuF structure (PBE+U, Alexandria via LeMat-Bulk).

Output
The calculated total energy is -5.22 eV/atom.

abc: 4.7268 4.7889 4.7268
angles: 90.00 90.00 90.00
With the nearest neighbours (Å) after each atom.
Fractional coordinates of all 5 atoms:
Ru 0.0000 0.5000 0.0000  2 Mo 2.39
Mo 0.0000 0.0000 0.0000  4 Ir 2.36, 2 Ru 2.39
Ir 0.0000 0.0000 0.5000  2 Mo 2.36
Ir 0.5000 0.0000 0.0000  2 Mo 2.36
F 0.5000 0.5000 0.5000  4 Ru 3.34, 8 Ir 3.36